1.
The following is a PBE calculation of a geometry-optimized Pm4ThMg3 structure, from Alexandria.

Lattice parameters (Å, degrees): 3.7503 3.7503 17.0448 90.00 90.00 90.00
Last column: nearest neighbours and their distance in Å.
Space group P4/mmm (No. 123)
Inequivalent atoms, fractional coordinates:
Pm  0.0000  0.0000  0.1153 [2 per cell]  8 Mg 3.30-3.36
Pm  0.0000  0.0000  0.3624 [2 per cell]  4 Mg 3.41, 4 Th 3.54, 4 Pm 3.75
Th  0.5000  0.5000  0.5000 [1 per cell]  8 Pm 3.54, 4 Th 3.75
Mg  0.5000  0.5000  0.0000 [1 per cell]  8 Pm 3.30
Mg  0.5000  0.5000  0.2366 [2 per cell]  8 Pm 3.36-3.41, 4 Mg 3.75

Results
Calculated volume = 239.7 Å³ per cell
DFT formation energy = -0.0637 eV per atom
M_tot = 0.0 μB/f.u.
DOS at the Fermi energy = 1.0560 states/eV per atom

2.
The following is a PBE calculation of a geometry-optimized Pm5ThMg4 structure, from Alexandria.

Lattice parameters (Å, degrees): 3.7711 3.7711 20.9461 90.00 90.00 90.00
Last column: nearest neighbours and their distance in Å.
Space group P4/mmm (No. 123)
Inequivalent atoms, fractional coordinates:
Pm  0.0000  0.0000  0.0000 [1 per cell]  8 Mg 3.32
Pm  0.0000  0.0000  0.1882 [2 per cell]  8 Mg 3.31-3.37
Pm  0.0000  0.0000  0.3892 [2 per cell]  4 Mg 3.42, 4 Th 3.54, 4 Pm 3.77
Th  0.5000  0.5000  0.5000 [1 per cell]  8 Pm 3.54, 4 Th 3.77
Mg  0.5000  0.5000  0.0946 [2 per cell]  8 Pm 3.31-3.32
Mg  0.5000  0.5000  0.2867 [2 per cell]  8 Pm 3.37-3.42, 4 Mg 3.77

Results
Calculated volume = 297.9 Å³ per cell
DFT formation energy = -0.0645 eV per atom
M_tot = 0.0 μB/f.u.
DOS at the Fermi energy = 1.2480 states/eV per atom